Density functional theory data (PBE) for KAgAsBr2 after structural relaxation.

Cell: 5.682 5.682 5.060 Å, 90.00 90.00 90.00°
Atoms (fractional coordinates):
1 K 0.000 0.000 0.000
2 Ag 0.500 0.500 0.500
3 As 0.500 0.500 0.000
4 Br 0.000 0.500 0.500
5 Br 0.500 0.000 0.500

Values from the calculation:
Formation energy from raw total energies in eV/atom: -0.330
Mass density in Mg/m³: 3.9
Total magnetic moment in μB/atom: 0.397
ΔE to the lowest computed polymorph in meV/atom: 0